Here is an optimized crystal structure of Nb2Ge2Au from Alexandria via LeMat-Bulk. Energies are from PBE-GGA.

Spin magnetization (μB/f.u.): 0.000
Total energy (eV/atom): -6.6679
Fermi-level density of states (states/eV/cell): 8.7
Energy relative to the lowest polymorph listed for this composition (meV/atom): 0
Calculated formation energy (eV per formula unit): -0.69
SG: No. 127

Unit cell a=6.9154 b=6.9154 c=3.5947 alpha=90.00 beta=90.00 gamma=90.00
Atoms (fractional coordinates):
1 Nb 0.1649 0.3351 0.0000
2 Nb 0.3351 0.8351 0.0000
3 Nb 0.6649 0.1649 0.0000
4 Nb 0.8351 0.6649 0.0000
5 Ge 0.1343 0.6343 0.5000
6 Ge 0.3657 0.1343 0.5000
7 Ge 0.6343 0.8657 0.5000
8 Ge 0.8657 0.3657 0.5000
9 Au 0.0000 0.0000 0.5000
10 Au 0.5000 0.5000 0.5000